Compound: Cu2MoP
Source: the Alexandria database
Functional: PBE
Structure: relaxed

abc: 2.7215 3.9620 4.9950
angles: 90.00 90.00 90.00
Positions (direct):
Cu 0.0000 0.0000 0.2489
Cu 0.0000 0.0000 0.7511
Mo 0.5000 0.5000 0.0000
P 0.5000 0.5000 0.5000

Results
ΔE_f (eV per formula unit): 0.89
SG: Pmmm (47)

=====

Compound: CuMo3P
Source: the Alexandria database
Functional: PBE
Structure: relaxed

abc: 4.4359 4.4359 4.4359
angles: 90.00 90.00 90.00
Positions (direct):
Cu 0.0000 0.0000 0.0000
Mo 0.0000 0.5000 0.5000
Mo 0.5000 0.0000 0.5000
Mo 0.5000 0.5000 0.0000
P 0.5000 0.5000 0.5000

Results
Polymorph energy (0 for the lowest one) (meV/atom): 0
ΔE_f (eV per formula unit): 4.02
SG: Pm-3m (221)

=====

Compound: Cu2MoP
Source: the Alexandria database
Functional: PBE
Structure: relaxed

abc: 5.0440 5.0440 2.6253
angles: 98.02 98.02 122.46
Positions (direct):
Cu 0.0000 0.5000 0.0000
Cu 0.5000 0.0000 0.0000
Mo 0.0000 0.0000 0.5000
P 0.5000 0.5000 0.5000

Results
ΔE_f (eV per formula unit): 0.53
SG: C2/m (12)

=====

Compound: Cu2MoP
Source: the Alexandria database
Functional: PBE
Structure: relaxed

abc: 4.1839 4.1839 4.1839
angles: 60.00 60.00 60.00
Positions (direct):
Cu 0.0000 0.0000 0.0000
Cu 0.2500 0.2500 0.2500
Mo 0.5000 0.5000 0.5000
P 0.7500 0.7500 0.7500

Results
ΔE_f (eV per formula unit): 0.57
SG: F-43m (216)

=====

Compound: CuMoP
Source: the Alexandria database
Functional: PBE
Structure: relaxed

abc: 4.0657 4.0657 2.8772
angles: 90.00 90.00 120.00
Positions (direct):
Cu 0.0000 0.0000 0.0000
Mo 0.6667 0.3333 0.5340
P 0.3333 0.6667 0.7452

Results
ΔE_f (eV per formula unit): 0.28
SG: P3m1 (156)

=====

Compound: Cu2MoP
Source: the Alexandria database
Functional: PBE
Structure: relaxed

abc: 4.8856 4.8856 2.5961
angles: 90.00 90.00 119.45
Positions (direct):
Cu 0.0000 0.5000 0.0000
Cu 0.5000 0.0000 0.0000
Mo 0.0000 0.0000 0.5000
P 0.5000 0.5000 0.5000

Results
ΔE_f (eV per formula unit): 0.59
SG: Cmmm (65)

=====

Number 1: M_tot 0.00 μB per atom. Number 2: M_tot 0.00 μB per atom. Number 3: M_tot 0.00 μB per atom. Number 4: M_tot 0.00 μB per atom. Number 5: M_tot 0.00 μB per atom. Number 6: M_tot 0.00 μB per atom.